## CaPdRu3 (PBE)

Data for CaPdRu3 after structural relaxation.

The structure in POSCAR format:
```
CaPdRu3
1.0
-0.681 1.175 -4.454
-4.594 -0.496 0.571
-0.330 4.478 1.232
Ru Ca Pd
3 1 1
direct
0.000 0.500 0.000 Ru
0.000 0.000 0.500 Ru
0.500 0.000 0.000 Ru
0.000 0.000 0.000 Ca
0.500 0.500 0.500 Pd
```

As for the space-group type: No. 221. The calculation puts the formation energy at 2298 meV/atom. The energy above the most stable polymorph in this dataset is 897 meV per atom.

=====

## Ca2PdRu2 (PBE)

Data for Ca2PdRu2 after structural relaxation.

The structure in POSCAR format:
```
Ca2PdRu2
1.0
-4.626 2.323 -4.324
-2.158 -6.299 -1.075
-2.988 0.438 3.432
Ru Ca Pd
4 4 2
direct
0.379 0.879 0.000 Ru
0.879 0.621 0.000 Ru
0.621 0.121 0.000 Ru
0.121 0.379 0.000 Ru
0.180 0.680 0.500 Ca
0.680 0.820 0.500 Ca
0.820 0.320 0.500 Ca
0.320 0.180 0.500 Ca
0.000 0.000 0.000 Pd
0.500 0.500 0.000 Pd
```

As for the space-group type: No. 127. The calculation puts the formation energy at 85 meV/atom.

=====

## CaPd2Ru (PBE)

Data for CaPd2Ru after structural relaxation.

The structure in POSCAR format:
```
CaPd2Ru
1.0
0.629 -4.438 1.213
-1.991 -1.658 3.853
-3.518 -3.014 -0.317
Ru Ca Pd
1 1 2
direct
0.500 0.500 0.500 Ru
0.000 0.000 0.000 Ca
0.250 0.250 0.250 Pd
0.750 0.750 0.750 Pd
```

As for the space-group type: No. 225. The calculation puts the formation energy at 32 meV/atom. The energy above the most stable polymorph in this dataset is 0 meV per atom.

=====

| no. | mass density (Mg/m³) | DOS(E_F) (states/eV/cell) |
| --- | --- | --- |
| 1 | 7.40 | 5.67 |
| 2 | 6.21 | 15.32 |
| 3 | 8.30 | 1.68 |